VASP calculation (PBE) on a relaxed NbTlCoS3 crystal.

Cell lengths 8.5622, 3.4903, 9.2942 Å; angles 90.00, 115.02, 90.00 degrees
With the nearest neighbours (Å) after each atom.
Positions (direct):
Nb1 0.2018 0.2500 0.1700  6 S 2.43-2.61
Nb2 0.7982 0.7500 0.8300  6 S 2.43-2.61
Tl1 0.2535 0.7500 0.7451  7 S 3.10-3.35
Tl2 0.7465 0.2500 0.2549  7 S 3.10-3.35
Co1 0.4162 0.7500 0.3908  4 S 2.24-2.27
Co2 0.5838 0.2500 0.6092  4 S 2.24-2.27
S1 0.0307 0.2500 0.8617  3 Nb 2.57-2.61
S2 0.2952 0.2500 0.4555  3 Co 2.24-2.27, 1 Nb 2.43
S3 0.3915 0.7500 0.1407  1 Co 2.24, 2 Nb 2.48
S4 0.6085 0.2500 0.8593  1 Co 2.24, 2 Nb 2.48
S5 0.7048 0.7500 0.5445  3 Co 2.24-2.27, 1 Nb 2.43
S6 0.9693 0.7500 0.1383  3 Nb 2.57-2.61

**M_tot**: 0.1408 μB per atom
**Energy relative to the elements, uncorrected**: -0.72 eV per atom
**Volume**: 20.97 A^3/atom
**Space group**: P2_1/m